This record from Alexandria via LeMat-Bulk describes a relaxed structure of SmGd2Pu. The functional is PBE.

energy: -11.697 eV per atom
ΔE_f: 0.43 eV/f.u.
magnetization: 21.0 Bohr magnetons per cell

Structure (CIF):
```
data_SmGd2Pu
_cell_length_a 3.552
_cell_length_b 3.552
_cell_length_c 10.058
_cell_angle_alpha 90.00
_cell_angle_beta 90.00
_cell_angle_gamma 90.00
_symmetry_space_group_name_H-M 'P 4/m m m'
_symmetry_Int_Tables_number 123
_symmetry_space_group_name_Hall '-P 4 2'
loop_
_atom_site_label
_atom_site_type_symbol
_atom_site_fract_x
_atom_site_fract_y
_atom_site_fract_z
Sm1 Sm 0.000 0.000 0.000
Gd1 Gd 0.500 0.500 0.258
Pu1 Pu 0.000 0.000 0.500
```